{
  "formula": "SrOs",
  "functional": "PBE",
  "state": "optimized geometry",
  "ef_mev_per_atom": 154.6,
  "dft_energy_ev_per_fu": -12.602,
  "lattice": [[4.223, 0.000, 0.000], [-2.111, 3.657, 0.000], [0.000, 0.000, 17.177]],
  "species": ["Sr", "Sr", "Sr", "Sr", "Os", "Os", "Os", "Os"],
  "fractional_positions": [[0.333, 0.667, 0.118], [0.333, 0.667, 0.382], [0.667, 0.333, 0.618], [0.667, 0.333, 0.882], [0.000, 0.000, 0.250], [0.000, 0.000, 0.750], [0.333, 0.667, 0.750], [0.667, 0.333, 0.250]]
}

---

{
  "formula": "LaThSnAu",
  "functional": "PBE",
  "state": "optimized geometry",
  "ef_mev_per_atom": -579.2,
  "dft_energy_ev_per_fu": -21.944,
  "lattice": [[0.000, 3.836, 3.836], [3.836, 0.000, 3.836], [3.836, 3.836, 0.000]],
  "species": ["La", "Th", "Sn", "Au"],
  "fractional_positions": [[0.000, 0.000, 0.000], [0.500, 0.500, 0.500], [0.750, 0.750, 0.750], [0.250, 0.250, 0.250]]
}

---

{
  "formula": "Hf5In5Hg2",
  "functional": "PBE",
  "state": "optimized geometry",
  "ef_mev_per_atom": -60.0,
  "dft_energy_ev_per_fu": -64.783,
  "lattice": [[7.970, -1.636, 0.000], [7.970, 1.636, 0.000], [-7.056, 0.000, 10.348]],
  "species": ["Hf", "Hf", "Hf", "Hf", "Hf", "In", "In", "In", "In", "In", "Hg", "Hg"],
  "fractional_positions": [[0.000, 0.000, 0.000], [0.012, 0.012, 0.264], [0.328, 0.328, 0.494], [0.672, 0.672, 0.506], [0.988, 0.988, 0.736], [0.000, 0.000, 0.500], [0.333, 0.333, 0.752], [0.345, 0.345, 0.019], [0.655, 0.655, 0.981], [0.667, 0.667, 0.248], [0.336, 0.336, 0.250], [0.664, 0.664, 0.750]]
}

---

{
  "formula": "BaSb3Ru",
  "functional": "PBE",
  "state": "optimized geometry",
  "dft_energy_ev_per_fu": -24.108,
  "raw_formation_energy_ev_per_atom": -0.11,
  "lattice": [[5.308, 0.000, 0.000], [0.000, 5.308, 0.000], [0.000, 0.000, 5.308]],
  "species": ["Ba", "Sb", "Sb", "Sb", "Ru"],
  "fractional_positions": [[0.000, 0.000, 0.000], [0.000, 0.500, 0.500], [0.500, 0.000, 0.500], [0.500, 0.500, 0.000], [0.500, 0.500, 0.500]]
}